1.
An optimized crystal structure of PaWC, computed with PBE.

```
3
Lattice="-1.044 2.755 0.199 -2.750 -1.015 -0.360 1.424 -1.421 5.236" Properties=species:S:1:pos:R:3 pbc="T T T"
W -0.268 -0.312 2.924
Pa -0.008 -0.009 0.087
C -2.093 0.641 2.063
```

Summary:
Magnetization ... 0.00 μB per formula unit
Formation energy ... 29.6 kJ per mole of atoms
Symmetry ... I4mm (107)
Energy above the lowest structure with this stoichiometry ... 302 meV per atom
Total DFT energy (no corrections) ... -10.251 eV per atom

2.
An optimized crystal structure of Co2PBr, computed with PBE.

```
4
Lattice="-3.518 0.053 -0.510 -2.213 -1.095 2.559 0.351 5.566 1.933" Properties=species:S:1:pos:R:3 pbc="T T T"
Co -0.438 4.748 1.962
Co -4.165 2.502 2.708
P -2.319 3.730 2.382
Br -0.797 1.373 0.853
```

Summary:
Magnetization ... 0.85 μB per formula unit
Symmetry ... Cm (8)
Energy above the lowest structure with this stoichiometry ... 0 meV per atom
Total DFT energy (no corrections) ... -5.527 eV per atom

3.
An optimized crystal structure of Pu3Ir2Pt, computed with PBE.

```
12
Lattice="-2.564 -5.004 0.687 1.899 0.096 7.785 -4.362 5.295 -1.062" Properties=species:S:1:pos:R:3 pbc="T T T"
Pu -0.855 1.031 4.321
Pu -1.804 0.984 0.429
Pt 0.474 0.023 1.946
Ir -3.022 1.930 2.777
Pu 0.143 -2.429 6.182
Pu -3.222 -0.596 6.982
Pu -4.172 -0.644 3.089
Ir -2.004 -1.542 4.633
Ir -2.073 1.978 6.670
Ir -2.954 -1.590 0.741
Pu -0.808 -2.479 2.290
Pt -1.139 -4.930 6.526
```

Summary:
Magnetization ... 14.30 μB per formula unit
Formation energy ... -47.1 kJ per mole of atoms
Symmetry ... Immm (71)
Energy above the lowest structure with this stoichiometry ... 16 meV per atom
Total DFT energy (no corrections) ... -11.615 eV per atom

4.
An optimized crystal structure of CaHW3, computed with PBE.

```
5
Lattice="4.642 0.000 0.000 0.000 4.642 0.000 0.000 0.000 4.642" Properties=species:S:1:pos:R:3 pbc="T T T"
H 2.321 2.321 2.321
W 0.000 2.321 0.000
W 0.000 0.000 2.321
Ca 0.000 0.000 0.000
W 2.321 0.000 0.000
```

Summary:
Magnetization ... 0.00 μB per formula unit
Symmetry ... Pm-3m (221)
Energy above the lowest structure with this stoichiometry ... 3030 meV per atom
Total DFT energy (no corrections) ... -4.865 eV per atom

5.
An optimized crystal structure of Ce2YTmSe5, computed with PBE.

```
9
Lattice="-0.344 -4.986 -0.959 3.159 0.542 -3.953 8.380 -1.817 6.447" Properties=species:S:1:pos:R:3 pbc="T T T"
Se 5.769 -0.637 1.247
Se 4.018 -3.401 2.744
Ce 7.260 -3.491 2.047
Se 1.408 -2.222 -2.456
Se 6.321 -1.371 4.863
Tm 4.190 -0.908 3.224
Se 2.059 -0.446 1.584
Ce 3.935 -2.770 -0.511
Y 0.000 0.000 0.000
```

Summary:
Magnetization ... 3.38 μB per formula unit
Symmetry ... P4/mmm (123)
Total DFT energy (no corrections) ... -5.804 eV per atom

Which of these has the highest total DFT energy (no corrections)?
CaHW3